First-principles (PBE) data for a relaxed AcTmInPd crystal, as listed in Alexandria.

Calculated values
The space-group type is No. 216. The spin magnetization is 0.000 μB/atom. As for the energy: -18.4 eV/cell. As for the formation energy: -482 meV/atom.

Cell: 5.375 5.375 5.375 Å, 60.00 60.00 60.00°
Sites, in units of the cell vectors:
Ac 0.250 0.250 0.250
Tm 0.750 0.750 0.750
Pd 0.000 0.000 0.000
In 0.500 0.500 0.500